Density functional theory data (PBE) for crystalline ZnCo2CuN at its relaxed geometry.

a b c (Å): 3.6488 3.6488 4.1223
angles (deg): 90.00 90.00 90.00
Closest atoms and distances in Å follow each position.
Positions (direct):
Zn 0.0000 0.0000 0.5000  2 N 2.06
Co 0.0000 0.5000 0.0000  2 N 1.82
Co 0.5000 0.0000 0.0000  2 N 1.82
Cu 0.5000 0.5000 0.5000  4 Zn 2.58, 8 Co 2.75
N 0.0000 0.0000 0.0000  4 Co 1.82

E_form (uncorrected) = 0.149 eV/atom
excess energy over the best structure of this formula in the dataset = 0.65 eV/f.u.
total energy = -5.43 eV per atom
symmetry = P4/mmm (123)